## A
The following is a GGA-PBE calculation of an optimized crystal structure of MgBiAu3, from the Alexandria database.

Geometry as POSCAR:
```
MgBiAu3
1.0
4.939 0.000 0.000
0.000 4.939 0.000
0.000 0.000 4.939
Mg Bi Au
1 1 3
Direct
0.000 0.000 0.000
0.500 0.500 0.500
0.000 0.000 0.500
0.000 0.500 0.000
0.500 0.000 0.000
```

Values from the calculation:
space group	No. 221
density of states at the Fermi level	2.19	states/eV per cell

## B
The following is a GGA-PBE calculation of an optimized crystal structure of MgBiAu3, from the Alexandria database.

Geometry as POSCAR:
```
MgBiAu3
1.0
5.409 0.000 0.000
0.000 5.409 0.000
0.000 0.000 5.409
Mg Bi Au
1 1 3
Direct
0.000 0.000 0.000
0.500 0.500 0.500
0.000 0.500 0.500
0.500 0.000 0.500
0.500 0.500 0.000
```

Values from the calculation:
space group	No. 221
density of states at the Fermi level	1.93	states/eV per cell

Going by the energies, A is most stable and the next is 180 meV per atom up.

## A
The following is a GGA-PBE calculation of an optimized crystal structure of Mg2Bi2Au, from the Alexandria database.

Geometry as POSCAR:
```
Mg2Bi2Au
1.0
5.833 0.000 0.000
0.000 5.833 0.000
0.000 0.000 8.913
Mg Bi Au
4 4 2
Direct
0.000 0.500 0.250
0.000 0.500 0.750
0.500 0.000 0.250
0.500 0.000 0.750
0.000 0.000 0.180
0.000 0.000 0.820
0.500 0.500 0.320
0.500 0.500 0.680
0.000 0.000 0.500
0.500 0.500 0.000
```

Values from the calculation:
space group	No. 139
density of states at the Fermi level	4.27	states/eV per cell

## B
The following is a GGA-PBE calculation of an optimized crystal structure of Mg2Bi2Au, from the Alexandria database.

Geometry as POSCAR:
```
Mg2Bi2Au
1.0
7.268 0.000 0.000
0.000 7.268 0.000
0.000 0.000 4.834
Mg Bi Au
4 4 2
Direct
0.155 0.345 0.000
0.345 0.845 0.000
0.655 0.155 0.000
0.845 0.655 0.000
0.157 0.657 0.500
0.343 0.157 0.500
0.657 0.843 0.500
0.843 0.343 0.500
0.000 0.000 0.000
0.500 0.500 0.000
```

Values from the calculation:
space group	No. 127
density of states at the Fermi level	6.81	states/eV per cell

Going by the energies, B is most stable and the next is 166 meV per atom up.